1.
Mg2ScIr | PBE-GGA | optimized geometry

Output
The energy of formation from the pure elements is -1.75 eV per formula unit. The value obtained for the spin magnetization is 0.000 μB per formula unit. For the calculated volume, the calculation gives 19.7 Å³/atom.

The structure in CIF format:
```
data_Mg2ScIr
_chemical_formula_sum 'Mg2 Sc1 Ir1'
_symmetry_space_group_name_H-M 'P m m 2'
_symmetry_Int_Tables_number 25
_symmetry_space_group_name_Hall 'P 2 -2'
_cell_length_a 3.1794
_cell_length_b 3.1899
_cell_length_c 7.7859
_cell_angle_alpha 90.00
_cell_angle_beta 90.00
_cell_angle_gamma 90.00
loop_
_atom_site_label
_atom_site_type_symbol
_atom_site_fract_x
_atom_site_fract_y
_atom_site_fract_z
Mg1 Mg 0.0000 0.0000 0.0000
Mg2 Mg 0.5000 0.5000 0.2844
Sc1 Sc 0.5000 0.5000 0.6844
Ir1 Ir 0.0000 0.0000 0.4892
```

2.
Mg2ScIr2 | PBE-GGA | optimized geometry

Output
The energy of formation from the pure elements is -2.73 eV per formula unit. The value obtained for the spin magnetization is 0.000 μB per formula unit. For the calculated volume, the calculation gives 18.3 Å³/atom.

The structure in CIF format:
```
data_Mg2ScIr2
_chemical_formula_sum 'Mg4 Sc2 Ir4'
_symmetry_space_group_name_H-M 'C m m m'
_symmetry_Int_Tables_number 65
_symmetry_space_group_name_Hall '-C 2 2'
_cell_length_a 3.1597
_cell_length_b 18.3766
_cell_length_c 3.1444
_cell_angle_alpha 90.00
_cell_angle_beta 90.00
_cell_angle_gamma 90.00
loop_
_atom_site_label
_atom_site_type_symbol
_atom_site_fract_x
_atom_site_fract_y
_atom_site_fract_z
Mg1 Mg 0.0000 0.1729 0.0000
Sc1 Sc 0.0000 0.0000 0.0000
Ir1 Ir 0.0000 0.4100 0.5000
```

3.
MgSc2Ir | PBE-GGA | optimized geometry

Output
The energy of formation from the pure elements is -1.10 eV per formula unit. The value obtained for the spin magnetization is 0.000 μB per formula unit. For the calculated volume, the calculation gives 21.0 Å³/atom.

The structure in CIF format:
```
data_MgSc2Ir
_chemical_formula_sum 'Mg3 Sc6 Ir3'
_symmetry_space_group_name_H-M 'R -3 m'
_symmetry_Int_Tables_number 166
_symmetry_space_group_name_Hall '-R 3 2"'
_cell_length_a 3.2414
_cell_length_b 3.2414
_cell_length_c 27.7171
_cell_angle_alpha 90.00
_cell_angle_beta 90.00
_cell_angle_gamma 120.00
loop_
_atom_site_label
_atom_site_type_symbol
_atom_site_fract_x
_atom_site_fract_y
_atom_site_fract_z
Mg1 Mg 0.0000 0.0000 0.0000
Sc1 Sc 0.0000 0.0000 0.2371
Ir1 Ir 0.0000 0.0000 0.5000
```

4.
Mg2ScIr | PBE-GGA | optimized geometry

Output
The energy of formation from the pure elements is -1.53 eV per formula unit. The value obtained for the spin magnetization is 0.000 μB per formula unit. For the calculated volume, the calculation gives 18.7 Å³/atom.

The structure in CIF format:
```
data_Mg2ScIr
_chemical_formula_sum 'Mg4 Sc2 Ir2'
_symmetry_space_group_name_H-M 'C 1 2/m 1'
_symmetry_Int_Tables_number 12
_symmetry_space_group_name_Hall '-C 2y'
_cell_length_a 10.8166
_cell_length_b 3.3116
_cell_length_c 4.6165
_cell_angle_alpha 90.00
_cell_angle_beta 115.14
_cell_angle_gamma 90.00
loop_
_atom_site_label
_atom_site_type_symbol
_atom_site_fract_x
_atom_site_fract_y
_atom_site_fract_z
Mg1 Mg 0.2199 0.0000 0.2196
Sc1 Sc 0.0000 0.0000 0.5000
Ir1 Ir 0.0000 0.5000 0.0000
```

5.
MgSc2Ir | PBE-GGA | optimized geometry

Output
The energy of formation from the pure elements is -1.64 eV per formula unit. The value obtained for the spin magnetization is 0.000 μB per formula unit. For the calculated volume, the calculation gives 18.2 Å³/atom.

The structure in CIF format:
```
data_MgSc2Ir
_chemical_formula_sum 'Mg4 Sc8 Ir4'
_symmetry_space_group_name_H-M 'F -4 3 m'
_symmetry_Int_Tables_number 216
_symmetry_space_group_name_Hall 'F -4 2 3'
_cell_length_a 6.6321
_cell_length_b 6.6321
_cell_length_c 6.6321
_cell_angle_alpha 90.00
_cell_angle_beta 90.00
_cell_angle_gamma 90.00
loop_
_atom_site_label
_atom_site_type_symbol
_atom_site_fract_x
_atom_site_fract_y
_atom_site_fract_z
Mg1 Mg 0.0000 0.0000 0.0000
Sc1 Sc 0.0000 0.0000 0.5000
Sc2 Sc 0.2500 0.2500 0.7500
Ir1 Ir 0.2500 0.2500 0.2500
```

6.
MgScIr | PBE-GGA | optimized geometry

Output
The energy of formation from the pure elements is 0.06 eV per formula unit. The value obtained for the spin magnetization is 0.000 μB per formula unit. For the calculated volume, the calculation gives 20.9 Å³/atom.

The structure in CIF format:
```
data_MgScIr
_chemical_formula_sum 'Mg4 Sc4 Ir4'
_symmetry_space_group_name_H-M 'F -4 3 m'
_symmetry_Int_Tables_number 216
_symmetry_space_group_name_Hall 'F -4 2 3'
_cell_length_a 6.3064
_cell_length_b 6.3064
_cell_length_c 6.3064
_cell_angle_alpha 90.00
_cell_angle_beta 90.00
_cell_angle_gamma 90.00
loop_
_atom_site_label
_atom_site_type_symbol
_atom_site_fract_x
_atom_site_fract_y
_atom_site_fract_z
Mg1 Mg 0.0000 0.0000 0.0000
Sc1 Sc 0.2500 0.2500 0.2500
Ir1 Ir 0.0000 0.0000 0.5000
```

7.
MgSc4Ir | PBE-GGA | optimized geometry

Output
The energy of formation from the pure elements is 1.61 eV per formula unit. The value obtained for the spin magnetization is 0.001 μB per formula unit. For the calculated volume, the calculation gives 20.8 Å³/atom.

The structure in CIF format:
```
data_MgSc4Ir
_chemical_formula_sum 'Mg4 Sc16 Ir4'
_symmetry_space_group_name_H-M 'F -4 3 m'
_symmetry_Int_Tables_number 216
_symmetry_space_group_name_Hall 'F -4 2 3'
_cell_length_a 7.9280
_cell_length_b 7.9280
_cell_length_c 7.9280
_cell_angle_alpha 90.00
_cell_angle_beta 90.00
_cell_angle_gamma 90.00
loop_
_atom_site_label
_atom_site_type_symbol
_atom_site_fract_x
_atom_site_fract_y
_atom_site_fract_z
Mg1 Mg 0.0000 0.0000 0.0000
Sc1 Sc 0.1228 0.1228 0.6228
Ir1 Ir 0.2500 0.2500 0.2500
```

8.
MgSc2Ir2 | PBE-GGA | optimized geometry

Output
The energy of formation from the pure elements is -2.46 eV per formula unit. The value obtained for the spin magnetization is 0.000 μB per formula unit. For the calculated volume, the calculation gives 20.8 Å³/atom.

The structure in CIF format:
```
data_MgSc2Ir2
_chemical_formula_sum 'Mg2 Sc4 Ir4'
_symmetry_space_group_name_H-M 'I 4/m m m'
_symmetry_Int_Tables_number 139
_symmetry_space_group_name_Hall '-I 4 2'
_cell_length_a 4.2729
_cell_length_b 4.2729
_cell_length_c 11.3873
_cell_angle_alpha 90.00
_cell_angle_beta 90.00
_cell_angle_gamma 90.00
loop_
_atom_site_label
_atom_site_type_symbol
_atom_site_fract_x
_atom_site_fract_y
_atom_site_fract_z
Mg1 Mg 0.0000 0.0000 0.0000
Sc1 Sc 0.0000 0.5000 0.2500
Ir1 Ir 0.0000 0.0000 0.3897
```

9.
MgSc3Ir3 | PBE-GGA | optimized geometry

Output
The energy of formation from the pure elements is -5.23 eV per formula unit. The value obtained for the spin magnetization is 0.000 μB per formula unit. For the calculated volume, the calculation gives 18.5 Å³/atom.

The structure in CIF format:
```
data_MgSc3Ir3
_chemical_formula_sum 'Mg4 Sc12 Ir12'
_symmetry_space_group_name_H-M 'C m m m'
_symmetry_Int_Tables_number 65
_symmetry_space_group_name_Hall '-C 2 2'
_cell_length_a 9.0632
_cell_length_b 9.1068
_cell_length_c 6.2674
_cell_angle_alpha 90.00
_cell_angle_beta 90.00
_cell_angle_gamma 90.00
loop_
_atom_site_label
_atom_site_type_symbol
_atom_site_fract_x
_atom_site_fract_y
_atom_site_fract_z
Mg1 Mg 0.2503 0.0000 0.0000
Sc1 Sc 0.0000 0.2484 0.0000
Sc2 Sc 0.0000 0.2524 0.5000
Sc3 Sc 0.2467 0.0000 0.5000
Ir1 Ir 0.0000 0.5000 0.2518
Ir2 Ir 0.2500 0.2500 0.2501
```

10.
Mg2ScIr | PBE-GGA | optimized geometry

Output
The energy of formation from the pure elements is -1.49 eV per formula unit. The value obtained for the spin magnetization is 0.000 μB per formula unit. For the calculated volume, the calculation gives 18.2 Å³/atom.

The structure in CIF format:
```
data_Mg2ScIr
_chemical_formula_sum 'Mg4 Sc2 Ir2'
_symmetry_space_group_name_H-M 'I 4/m m m'
_symmetry_Int_Tables_number 139
_symmetry_space_group_name_Hall '-I 4 2'
_cell_length_a 4.0321
_cell_length_b 4.0321
_cell_length_c 8.9471
_cell_angle_alpha 90.00
_cell_angle_beta 90.00
_cell_angle_gamma 90.00
loop_
_atom_site_label
_atom_site_type_symbol
_atom_site_fract_x
_atom_site_fract_y
_atom_site_fract_z
Mg1 Mg 0.0000 0.5000 0.2500
Sc1 Sc 0.0000 0.0000 0.0000
Ir1 Ir 0.0000 0.0000 0.5000
```

11.
MgSc2Ir | PBE-GGA | optimized geometry

Output
The energy of formation from the pure elements is -1.47 eV per formula unit. The value obtained for the spin magnetization is 0.609 μB per formula unit. For the calculated volume, the calculation gives 20.4 Å³/atom.

The structure in CIF format:
```
data_MgSc2Ir
_chemical_formula_sum 'Mg1 Sc2 Ir1'
_symmetry_space_group_name_H-M 'P m m 2'
_symmetry_Int_Tables_number 25
_symmetry_space_group_name_Hall 'P 2 -2'
_cell_length_a 3.1642
_cell_length_b 3.2242
_cell_length_c 7.9793
_cell_angle_alpha 90.00
_cell_angle_beta 90.00
_cell_angle_gamma 90.00
loop_
_atom_site_label
_atom_site_type_symbol
_atom_site_fract_x
_atom_site_fract_y
_atom_site_fract_z
Mg1 Mg 0.0000 0.0000 0.0000
Sc1 Sc 0.0000 0.0000 0.3887
Sc2 Sc 0.5000 0.5000 0.7106
Ir1 Ir 0.5000 0.5000 0.2015
```

12.
Mg2ScIr | PBE-GGA | optimized geometry

Output
The energy of formation from the pure elements is -1.09 eV per formula unit. The value obtained for the spin magnetization is 0.000 μB per formula unit. For the calculated volume, the calculation gives 17.7 Å³/atom.

The structure in CIF format:
```
data_Mg2ScIr
_chemical_formula_sum 'Mg8 Sc4 Ir4'
_symmetry_space_group_name_H-M 'F m -3 m'
_symmetry_Int_Tables_number 225
_symmetry_space_group_name_Hall '-F 4 2 3'
_cell_length_a 6.5622
_cell_length_b 6.5622
_cell_length_c 6.5622
_cell_angle_alpha 90.00
_cell_angle_beta 90.00
_cell_angle_gamma 90.00
loop_
_atom_site_label
_atom_site_type_symbol
_atom_site_fract_x
_atom_site_fract_y
_atom_site_fract_z
Mg1 Mg 0.2500 0.2500 0.2500
Sc1 Sc 0.0000 0.0000 0.0000
Ir1 Ir 0.0000 0.0000 0.5000
```

13.
Mg2ScIr | PBE-GGA | optimized geometry

Output
The energy of formation from the pure elements is -1.50 eV per formula unit. The value obtained for the spin magnetization is 0.000 μB per formula unit. For the calculated volume, the calculation gives 18.3 Å³/atom.

The structure in CIF format:
```
data_Mg2ScIr
_chemical_formula_sum 'Mg2 Sc1 Ir1'
_symmetry_space_group_name_H-M 'P 4/m m m'
_symmetry_Int_Tables_number 123
_symmetry_space_group_name_Hall '-P 4 2'
_cell_length_a 3.9657
_cell_length_b 3.9657
_cell_length_c 4.6421
_cell_angle_alpha 90.00
_cell_angle_beta 90.00
_cell_angle_gamma 90.00
loop_
_atom_site_label
_atom_site_type_symbol
_atom_site_fract_x
_atom_site_fract_y
_atom_site_fract_z
Mg1 Mg 0.0000 0.5000 0.0000
Sc1 Sc 0.0000 0.0000 0.5000
Ir1 Ir 0.5000 0.5000 0.5000
```

14.
MgSc4Ir2 | PBE-GGA | optimized geometry

Output
The energy of formation from the pure elements is -4.59 eV per formula unit. The value obtained for the spin magnetization is 0.000 μB per formula unit. For the calculated volume, the calculation gives 19.9 Å³/atom.

The structure in CIF format:
```
data_MgSc4Ir2
_chemical_formula_sum 'Mg3 Sc12 Ir6'
_symmetry_space_group_name_H-M 'R -3 m'
_symmetry_Int_Tables_number 166
_symmetry_space_group_name_Hall '-R 3 2"'
_cell_length_a 4.6650
_cell_length_b 4.6650
_cell_length_c 22.2046
_cell_angle_alpha 90.00
_cell_angle_beta 90.00
_cell_angle_gamma 120.00
loop_
_atom_site_label
_atom_site_type_symbol
_atom_site_fract_x
_atom_site_fract_y
_atom_site_fract_z
Mg1 Mg 0.0000 0.0000 0.0000
Sc1 Sc 0.0000 0.0000 0.1319
Sc2 Sc 0.0000 0.0000 0.3847
Ir1 Ir 0.0000 0.0000 0.2540
```